VASP calculation (PBE-GGA) on a relaxed structure of LaSbAs.

The structure in CIF format:
```
data_LaSbAs
_cell_length_a 4.5176
_cell_length_b 4.5176
_cell_length_c 8.4690
_cell_angle_alpha 90.18
_cell_angle_beta 90.18
_cell_angle_gamma 92.13
_space_group_name_H-M_alt 'P 1'
_space_group_IT_number 1
loop_
_space_group_symop_operation_xyz
'x,y,z'
loop_
_atom_site_label
_atom_site_type_symbol
_atom_site_fract_x
_atom_site_fract_y
_atom_site_fract_z
La1 La 0.7516 0.7516 0.6724
La2 La 0.2484 0.2484 0.3276
Sb1 Sb 0.0000 0.5000 0.0000
Sb2 Sb 0.5000 0.0000 0.0000
As1 As 0.7485 0.7485 0.3137
As2 As 0.2515 0.2515 0.6863
```

- Formation energy from raw total energies: -2.7 eV per formula unit
- Space group: C2/m
- Energy above the most stable polymorph in this dataset: 0.000 eV/atom